1.
A relaxed structure of AgTePd2Ru. Source: Alexandria via LeMat-Bulk, functional PBE-GGA.

Properties
SG: P4/mmm
uncorrected formation energy: 0.7779 eV/atom

Unit cell a=4.9155 b=4.9155 c=4.8772 alpha=90.00 beta=90.00 gamma=90.00
Sites, in units of the cell vectors:
Ag1 0.0000 0.0000 0.0000
Te1 0.5000 0.5000 0.5000
Pd1 0.0000 0.5000 0.5000
Pd2 0.5000 0.0000 0.5000
Ru1 0.5000 0.5000 0.0000

2.
A relaxed structure of Ti2AgPdRu. Source: Alexandria via LeMat-Bulk, functional PBE-GGA.

Properties
SG: P4/mmm
ΔH_f (0 K): 1.43 eV per atom

Unit cell a=4.7075 b=4.7075 c=4.7365 alpha=90.00 beta=90.00 gamma=90.00
Sites, in units of the cell vectors:
Ti1 0.0000 0.5000 0.0000
Ti2 0.5000 0.0000 0.0000
Ag1 0.0000 0.0000 0.0000
Pd1 0.0000 0.0000 0.5000
Ru1 0.5000 0.5000 0.5000

3.
A relaxed structure of Tm4AgPd2Ru. Source: Alexandria via LeMat-Bulk, functional PBE-GGA.

Properties
SG: R-3m
ΔH_f (0 K): -0.69 eV per atom

Unit cell a=8.5061 b=8.5061 c=8.5061 alpha=33.46 beta=33.46 gamma=33.46
Sites, in units of the cell vectors:
Tm1 0.1193 0.1193 0.1193
Tm2 0.3706 0.3706 0.3706
Tm3 0.6294 0.6294 0.6294
Tm4 0.8807 0.8807 0.8807
Ag1 0.5000 0.5000 0.5000
Pd1 0.2500 0.2500 0.2500
Pd2 0.7500 0.7500 0.7500
Ru1 0.0000 0.0000 0.0000

4.
A relaxed structure of Tm4AgPdRu2. Source: Alexandria via LeMat-Bulk, functional PBE-GGA.

Properties
SG: R-3m
ΔH_f (0 K): -0.57 eV per atom

Unit cell a=8.4125 b=8.4125 c=8.4125 alpha=33.48 beta=33.48 gamma=33.48
Sites, in units of the cell vectors:
Tm1 0.1230 0.1230 0.1230
Tm2 0.3734 0.3734 0.3734
Tm3 0.6266 0.6266 0.6266
Tm4 0.8770 0.8770 0.8770
Ag1 0.5000 0.5000 0.5000
Pd1 0.0000 0.0000 0.0000
Ru1 0.2498 0.2498 0.2498
Ru2 0.7502 0.7502 0.7502

5.
A relaxed structure of AgPdRuW2. Source: Alexandria via LeMat-Bulk, functional PBE-GGA.

Properties
SG: P4/mmm
ΔH_f (0 K): 1.70 eV per atom

Unit cell a=4.6315 b=4.6315 c=4.9261 alpha=90.00 beta=90.00 gamma=90.00
Sites, in units of the cell vectors:
Ag1 0.0000 0.0000 0.0000
Pd1 0.5000 0.5000 0.0000
Ru1 0.5000 0.5000 0.5000
W1 0.0000 0.5000 0.5000
W2 0.5000 0.0000 0.5000

6.
A relaxed structure of AgPd3S. Source: Alexandria via LeMat-Bulk, functional PBE-GGA.

Properties
E above lowest polymorph: 1.449 eV/atom
SG: Pm-3m
uncorrected formation energy: 1.3175 eV/atom

Unit cell a=4.8937 b=4.8937 c=4.8937 alpha=90.00 beta=90.00 gamma=90.00
Sites, in units of the cell vectors:
Ag1 0.0000 0.0000 0.0000
Pd1 0.0000 0.0000 0.5000
Pd2 0.0000 0.5000 0.0000
Pd3 0.5000 0.0000 0.0000
S1 0.5000 0.5000 0.5000

M_tot per entry: 0.954; 0.001; 0.000; 0.000; 0.000; 0.000 μB/cell
Total energy per entry: -21.76; -25.94; -45.90; -49.06; -34.73; -15.97 eV for the cell shown